# 1
DFT (PBE) results for a relaxed Sm2DyHoTm5 crystal.

Its calculated total energy is -4.27 eV per atom. Its magnetization is 0.0 μB per formula unit. The calculation puts the density of states at the Fermi level at 1.174 states/eV per atom.

It has space group I4/mcm (No. 140), with a = 8.581 Å, b = 8.581 Å, c = 15.328 Å, α = 90.00°, β = 90.00° and γ = 90.00°. The asymmetric unit holds Sm at (0.117, 0.383, 0.000), Dy at (0.000, 0.000, 0.250), Ho at (0.000, 0.500, 0.250), Tm at (0.000, 0.000, 0.000) and Tm at (0.211, 0.289, 0.361).

***

# 2
DFT (PBE) results for a relaxed Sm4Dy2HoTm crystal.

Its calculated total energy is -4.62 eV per atom. Its magnetization is 0.0 μB per formula unit. The calculation puts the density of states at the Fermi level at 1.361 states/eV per atom.

It has space group Pmmm (No. 47), with a = 5.059 Å, b = 5.073 Å, c = 10.061 Å, α = 90.00°, β = 90.00° and γ = 90.00°. The asymmetric unit holds Sm at (0.000, 0.000, 0.249), Sm at (0.500, 0.500, 0.250), Dy at (0.000, 0.500, 0.000), Dy at (0.500, 0.000, 0.500), Ho at (0.000, 0.500, 0.500) and Tm at (0.500, 0.000, 0.000).

***

# 3
DFT (PBE) results for a relaxed Sm6DyHo2Tm crystal.

Its calculated total energy is -4.54 eV per atom. Its magnetization is 0.0 μB per formula unit. The calculation puts the density of states at the Fermi level at 1.368 states/eV per atom.

It has space group C2/c (No. 15), with a = 9.166 Å, b = 15.186 Å, c = 9.561 Å, α = 90.00°, β = 97.28° and γ = 90.00°. The asymmetric unit holds Sm at (0.060, 0.180, 0.446), Sm at (0.100, 0.391, 0.618), Sm at (0.212, 0.223, 0.813), Dy at (0.000, 0.026, 0.750), Ho at (0.249, 0.450, 0.954) and Tm at (0.000, 0.411, 0.250).

***

# 4
DFT (PBE) results for a relaxed Sm5DyHoTm2 crystal.

Its calculated total energy is -4.48 eV per atom. Its magnetization is 0.0 μB per formula unit. The calculation puts the density of states at the Fermi level at 1.623 states/eV per atom.

It has space group Cmc2_1 (No. 36), with a = 5.605 Å, b = 20.131 Å, c = 10.623 Å, α = 90.00°, β = 90.00° and γ = 90.00°. The asymmetric unit holds Sm at (0.000, 0.017, 0.000), Sm at (0.000, 0.280, 0.292), Sm at (0.000, 0.299, 0.688), Sm at (0.000, 0.387, 0.003), Sm at (0.000, 0.481, 0.722), Dy at (0.000, 0.199, 0.992), Ho at (0.000, 0.410, 0.439), Tm at (0.000, 0.111, 0.719) and Tm at (0.000, 0.114, 0.293).

***

# 5
DFT (PBE) results for a relaxed SmDy4Ho2Tm2 crystal.

Its calculated total energy is -4.58 eV per atom. Its magnetization is 0.0 μB per formula unit. The calculation puts the density of states at the Fermi level at 1.344 states/eV per atom.

It has space group C2/m (No. 12), with a = 18.513 Å, b = 3.567 Å, c = 9.473 Å, α = 90.00°, β = 115.71° and γ = 90.00°. The asymmetric unit holds Sm at (0.000, 0.000, 0.000), Dy at (0.019, 0.500, 0.335), Dy at (0.186, 0.000, 0.334), Ho at (0.148, 0.000, 0.668) and Tm at (0.168, 0.500, 0.001).

***

# 6
DFT (PBE) results for a relaxed Sm3DyHoTm crystal.

Its calculated total energy is -4.62 eV per atom. Its magnetization is 0.0 μB per formula unit. The calculation puts the density of states at the Fermi level at 1.384 states/eV per atom.

It has space group Cmcm (No. 63), with a = 5.043 Å, b = 15.174 Å, c = 10.106 Å, α = 90.00°, β = 90.00° and γ = 90.00°. The asymmetric unit holds Sm at (0.000, 0.166, 0.000), Sm at (0.000, 0.333, 0.250), Dy at (0.000, 0.500, 0.000), Ho at (0.000, 0.001, 0.250) and Tm at (0.000, 0.334, 0.750).

***

# 7
DFT (PBE) results for a relaxed SmDy2Ho3Tm6 crystal.

Its calculated total energy is -4.52 eV per atom. Its magnetization is 0.0 μB per formula unit. The calculation puts the density of states at the Fermi level at 1.371 states/eV per atom.

It has space group C2/m (No. 12), with a = 6.095 Å, b = 10.544 Å, c = 11.631 Å, α = 90.00°, β = 100.02° and γ = 90.00°. The asymmetric unit holds Sm at (0.000, 0.000, 0.000), Dy at (0.000, 0.333, 0.000), Ho at (0.000, 0.167, 0.500), Ho at (0.000, 0.500, 0.500), Tm at (0.249, 0.000, 0.749) and Tm at (0.249, 0.333, 0.749).

***

# 8
DFT (PBE) results for a relaxed Sm3Dy2HoTm6 crystal.

Its calculated total energy is -4.54 eV per atom. Its magnetization is 0.0 μB per formula unit. The calculation puts the density of states at the Fermi level at 1.309 states/eV per atom.

It has space group C2/m (No. 12), with a = 6.129 Å, b = 10.608 Å, c = 11.659 Å, α = 90.00°, β = 100.06° and γ = 90.00°. The asymmetric unit holds Sm at (0.000, 0.000, 0.000), Sm at (0.000, 0.333, 0.000), Dy at (0.000, 0.167, 0.500), Ho at (0.000, 0.500, 0.500), Tm at (0.249, 0.333, 0.748) and Tm at (0.250, 0.000, 0.748).